A plane-wave DFT calculation with PBE was carried out for Hf3NbSe after structural relaxation.

The structure in POSCAR format:
```
Hf3NbSe
1.0
-0.399 1.641 4.574
-4.587 -1.643 0.189
1.605 -4.287 1.678
Hf Nb Se
3 1 1
Cartesian
-0.199 0.820 2.287
-2.293 -0.821 0.095
0.802 -2.144 0.839
-1.690 -2.145 3.221
0.000 0.000 0.000
```

Values from the calculation:
**Space-group type**: Pm-3m, No. 221
**Energy relative to the elements, uncorrected**: 0.26 eV/atom
**Density**: 10.13 g cm⁻³
**Raw total energy**: -8.43 eV/atom
**Size of the total moment**: 0.0 μB/cell